Entry 1:
This record from the Alexandria database describes crystalline CaSc2ZnO at its relaxed geometry. The functional is GGA-PBE.

Cell lengths 4.4260, 4.4260, 4.7304 Å; angles 90.00, 90.00, 90.00 degrees
Closest atoms and distances in Å follow each position.
Element x y z (fractional)
Ca (0.0000, 0.0000, 0.5000)  2 O 2.37
Zn (0.5000, 0.5000, 0.5000)  4 Ca 3.13, 8 Sc 3.24
Sc (0.0000, 0.5000, 0.0000)  2 O 2.21
Sc (0.5000, 0.0000, 0.0000)  2 O 2.21
O (0.0000, 0.0000, 0.0000)  4 Sc 2.21, 2 Ca 2.37

Results
Symmetry: P4/mmm, No. 123

---

Entry 2:
This record from the Alexandria database describes crystalline Ca2ScZnO5 at its relaxed geometry. The functional is GGA-PBE.

Cell lengths 3.2398, 7.0862, 10.0708 Å; angles 90.00, 90.00, 103.21 degrees
Closest atoms and distances in Å follow each position.
Element x y z (fractional)
O (0.7140, 0.4279, 0.1467)  2 Sc 2.18, 3 Ca 2.41-2.42
O (0.7049, 0.4099, 0.8675)  2 Sc 2.13
O (0.3681, 0.7362, 0.0165)  1 Zn 2.01, 1 Sc 2.06
O (0.4980, 0.9960, 0.7826)  1 Zn 1.95
O (0.2860, 0.5721, 0.6467)  2 Sc 2.18, 3 Ca 2.41-2.42
O (0.5020, 0.0040, 0.2826)  1 Zn 1.95
O (0.2951, 0.5901, 0.3675)  2 Sc 2.13
O (0.0652, 0.1304, 0.0473)  2 Zn 1.93
O (0.9348, 0.8696, 0.5473)  2 Zn 1.93
O (0.6319, 0.2638, 0.5165)  1 Zn 2.01, 1 Sc 2.06
Zn (0.4894, 0.9788, 0.4753)  4 O 1.93-2.01
Zn (0.5106, 0.0212, 0.9753)  4 O 1.93-2.01
Ca (0.8711, 0.7422, 0.7817)  6 O 2.39-2.52
Ca (0.1166, 0.2331, 0.7035)  7 O 2.41-2.61
Ca (0.1289, 0.2578, 0.2817)  6 O 2.39-2.52
Ca (0.8834, 0.7669, 0.2035)  7 O 2.41-2.61
Sc (0.7807, 0.5614, 0.5027)  6 O 2.06-2.18
Sc (0.2193, 0.4386, 0.0027)  6 O 2.06-2.18

Results
Symmetry: Cmc2_1, No. 36

---

Entry 3:
This record from the Alexandria database describes crystalline Ca2ZrScO6 at its relaxed geometry. The functional is GGA-PBE.

Cell lengths 5.6352, 5.8326, 8.0150 Å; angles 90.00, 89.57, 90.00 degrees
Closest atoms and distances in Å follow each position.
Element x y z (fractional)
O (0.2028, 0.2067, 0.0628)  1 Zr 2.12, 1 Sc 2.12
O (0.8853, 0.5444, 0.2502)  1 Zr 2.12, 1 Sc 2.12, 1 Ca 2.35
O (0.7026, 0.2946, 0.9404)  1 Sc 2.12, 1 Zr 2.12
O (0.2974, 0.7054, 0.0596)  1 Sc 2.12, 1 Zr 2.12
O (0.2972, 0.7067, 0.4372)  1 Zr 2.12, 1 Sc 2.12
O (0.6147, 0.0444, 0.2498)  1 Zr 2.12, 1 Sc 2.12, 1 Ca 2.35
O (0.2026, 0.2054, 0.4404)  1 Sc 2.12, 1 Zr 2.12
O (0.7974, 0.7946, 0.5596)  1 Sc 2.12, 1 Zr 2.12
O (0.3853, 0.9556, 0.7502)  1 Zr 2.12, 1 Sc 2.12, 1 Ca 2.35
O (0.7972, 0.7933, 0.9372)  1 Zr 2.12, 1 Sc 2.12
O (0.1147, 0.4556, 0.7498)  1 Zr 2.12, 1 Sc 2.12, 1 Ca 2.35
O (0.7028, 0.2933, 0.5628)  1 Zr 2.12, 1 Sc 2.12
Zr (0.5000, 0.0000, 0.5000)  6 O 2.12
Zr (0.0000, 0.5000, 0.0000)  6 O 2.12
Ca (0.9815, 0.0542, 0.7482)  6 O 2.35-2.60
Ca (0.5185, 0.5542, 0.7518)  6 O 2.35-2.60
Ca (0.4815, 0.4458, 0.2482)  6 O 2.35-2.60
Ca (0.0185, 0.9458, 0.2518)  6 O 2.35-2.60
Sc (0.5000, 0.0000, 0.0000)  6 O 2.12
Sc (0.0000, 0.5000, 0.5000)  6 O 2.12

Results
Symmetry: P2_1/c, No. 14

---

Entry 4:
This record from the Alexandria database describes crystalline Ca2Se2O7 at its relaxed geometry. The functional is GGA-PBE.

Cell lengths 4.9559, 6.0633, 6.0633 Å; angles 98.56, 100.61, 100.61 degrees
Closest atoms and distances in Å follow each position.
Element x y z (fractional)
Se (0.8985, 0.2248, 0.2248)  3 O 1.71-1.73
Se (0.1015, 0.7752, 0.7752)  3 O 1.71-1.73
O (0.7987, 0.6039, 0.6039)  1 Se 1.71
O (0.7096, 0.4048, 0.1026)  1 Se 1.73
O (0.2904, 0.5952, 0.8974)  1 Se 1.73
O (0.0000, 0.0000, 0.0000)  2 Se 1.98
O (0.7096, 0.1026, 0.4048)  1 Se 1.73
O (0.2904, 0.8974, 0.5952)  1 Se 1.73
O (0.2013, 0.3961, 0.3961)  1 Se 1.71
Ca (0.5000, 0.3015, 0.6985)  6 O 2.35-2.49
Ca (0.5000, 0.6985, 0.3015)  6 O 2.35-2.49

Results
Symmetry: C2/m, No. 12

---

Entry 5:
This record from the Alexandria database describes crystalline CaSeO at its relaxed geometry. The functional is GGA-PBE.

Cell lengths 4.1446, 4.3540, 8.5514 Å; angles 69.57, 75.98, 61.58 degrees
Closest atoms and distances in Å follow each position.
Element x y z (fractional)
Ca (0.1999, 0.2781, 0.3222)  3 O 2.44-2.47
Ca (0.8001, 0.7219, 0.6778)  3 O 2.44-2.47
Se (0.9090, 0.0473, 0.1347)  1 Se 2.36
Se (0.0910, 0.9527, 0.8653)  1 Se 2.36
O (0.3994, 0.6787, 0.5225)  1 O 1.51
O (0.6006, 0.3213, 0.4775)  1 O 1.51

Results
Symmetry: C2/m, No. 12

---

Entry 6:
This record from the Alexandria database describes crystalline Ca2SeO4 at its relaxed geometry. The functional is GGA-PBE.

Cell lengths 7.0515, 5.1548, 8.3135 Å; angles 90.00, 119.68, 90.00 degrees
Closest atoms and distances in Å follow each position.
Element x y z (fractional)
O (0.5253, 0.0013, 0.8200)  1 Se 1.71
O (0.8767, 0.2500, 0.0816)  1 Se 1.75
O (0.1233, 0.7500, 0.9184)  1 Se 1.75
O (0.5253, 0.4987, 0.8200)  1 Se 1.71
O (0.0015, 0.7500, 0.3747)  2 Ca 2.13-2.19
O (0.4747, 0.5013, 0.1800)  1 Se 1.71
O (0.4747, 0.9987, 0.1800)  1 Se 1.71
O (0.9985, 0.2500, 0.6253)  2 Ca 2.13-2.19
Ca (0.7149, 0.7500, 0.0979)  3 O 2.19-2.40
Ca (0.0651, 0.2500, 0.4017)  2 O 2.13-2.31
Ca (0.2851, 0.2500, 0.9021)  3 O 2.19-2.40
Ca (0.9349, 0.7500, 0.5983)  2 O 2.13-2.31
Se (0.3024, 0.7500, 0.1581)  3 O 1.71-1.75
Se (0.6976, 0.2500, 0.8419)  3 O 1.71-1.75

Results
Symmetry: P2_1/m, No. 11

---

| no. | uncorrected energy (eV per atom) | formation energy without anion corrections (meV/atom) |
| --- | --- | --- |
| 1 | -5.42 | -1245 |
| 2 | -6.55 | -2502 |
| 3 | -7.88 | -3018 |
| 4 | -5.78 | -1626 |
| 5 | -4.93 | -1451 |
| 6 | -5.85 | -1945 |